The following is a DFT calculation (GGA-PBE) of a geometry-optimized Nd2ScSi3Pt4 structure.

Summary:
raw formation energy	-11.0	eV per formula unit
DOS(E_F)	0.79	states/eV per atom
symmetry	P-4m2, No. 115
total DFT energy (no corrections)	-67.3	eV per cell

a b c (Å): 4.286 4.286 10.356
angles (deg): 90.00 90.00 90.00
Element x y z (fractional)
Nd  0.500  0.000  0.238
Nd  0.000  0.500  0.762
Sc  0.500  0.500  0.500
Si  0.000  0.000  0.500
Si  0.500  0.000  0.877
Si  0.000  0.500  0.123
Pt  0.500  0.500  0.000
Pt  0.000  0.000  0.000
Pt  0.500  0.000  0.646
Pt  0.000  0.500  0.354